No. 1
Li2CoNi8 after structural relaxation, computed with PBE-GGA.

Calculated density = 7.2 g cm⁻³
Space group = C2/m, No. 12
Final energy = -54.62 eV for the cell shown
N(E_F) = 13.38 states/eV/cell
Volume = 11.44 A^3/atom

POSCAR file:
```
Li2CoNi8
1.0
-0.3438 2.9633 -2.7592
-2.0884 -5.0953 -3.1723
-3.2207 2.3399 4.9538
Li Co Ni
2 1 8
Direct
0.0000 0.6926 0.3074
0.0000 0.3074 0.6926
0.5000 0.0000 0.0000
0.8603 0.9013 0.6817
0.8603 0.6817 0.9013
0.3060 0.5932 0.5932
0.5000 0.2114 0.7886
0.5000 0.7886 0.2114
0.6940 0.4068 0.4068
0.1397 0.3183 0.0987
0.1397 0.0987 0.3183
```

=====

No. 2
Co3PbCl after structural relaxation, computed with PBE-GGA.

Calculated density = 9.0 g cm⁻³
Space group = Pm-3m, No. 221
Final energy = -23.07 eV for the cell shown
Energy relative to the elements, uncorrected = 3.8 eV per formula unit
N(E_F) = 10.33 states/eV/cell
Volume = 15.46 A^3/atom

POSCAR file:
```
Co3PbCl
1.0
-3.1898 -2.2628 -1.6886
-0.0801 -2.4742 3.4668
-2.8223 2.6277 1.8102
Pb Co Cl
1 3 1
Direct
0.5000 0.5000 0.5000
0.0000 0.5000 0.0000
0.0000 0.0000 0.5000
0.5000 0.0000 0.0000
0.0000 0.0000 0.0000
```

=====

No. 3
ZrTe2Ru after structural relaxation, computed with PBE-GGA.

Calculated density = 8.8 g cm⁻³
Space group = Imm2, No. 44
Final energy = -24.84 eV for the cell shown
Energy relative to the elements, uncorrected = -0.7 eV per formula unit
N(E_F) = 1.65 states/eV/cell
Volume = 21.16 A^3/atom

POSCAR file:
```
ZrTe2Ru
1.0
5.9071 0.0027 -0.0043
2.9947 5.0917 0.0043
-4.0408 -3.2639 2.8131
Ru Te Zr
1 2 1
Direct
0.2236 0.7236 0.5000
0.0315 0.0315 0.0000
0.7500 0.2500 0.5000
0.4949 0.4949 0.0000
```

=====

No. 4
AlTcPb after structural relaxation, computed with PBE-GGA.

Calculated density = 10.2 g cm⁻³
Space group = I4mm, No. 107
Final energy = -17.49 eV for the cell shown
N(E_F) = 0.08 states/eV/cell
Volume = 18.05 A^3/atom

POSCAR file:
```
AlTcPb
1.0
5.2691 -0.0132 0.0148
4.1817 3.2058 0.0131
1.0874 0.3691 3.1978
Pb Tc Al
1 1 1
Direct
0.6707 0.6707 0.3293
0.3571 0.3571 0.6429
0.9722 0.9722 0.0278
```

=====

No. 5
SrFeRu after structural relaxation, computed with PBE-GGA.

Calculated density = 6.5 g cm⁻³
Space group = Cm, No. 8
Final energy = -37.14 eV for the cell shown
N(E_F) = 6.98 states/eV/cell
Volume = 20.69 A^3/atom

POSCAR file:
```
SrFeRu
1.0
4.2438 0.0000 0.0004
0.0000 5.1946 0.0418
-2.1220 -0.1299 5.6291
Sr Fe Ru
2 2 2
Direct
0.4391 0.3357 0.1939
0.0016 0.8414 0.3187
0.7206 0.5957 0.7568
0.2627 0.8277 0.8411
0.1792 0.3445 0.6740
0.7196 0.0805 0.7549
```

=====

No. 6
BaLiTiH2 after structural relaxation, computed with PBE-GGA.

Calculated density = 3.4 g cm⁻³
Space group = P4/mmm, No. 123
Final energy = -16.69 eV for the cell shown
N(E_F) = 3.13 states/eV/cell
Volume = 18.79 A^3/atom

POSCAR file:
```
BaLiTiH2
1.0
4.2630 0.0000 0.0000
0.0000 4.2630 0.0000
0.0000 0.0000 5.1684
H Li Ba Ti
2 1 1 1
Direct
0.0000 0.5000 0.0000
0.5000 0.0000 0.0000
0.0000 0.0000 0.5000
0.5000 0.5000 0.5000
0.0000 0.0000 0.0000
```